15
Lattice="7.3626 -4.1275 0.0000 7.3626 4.1275 0.0000 -5.0091 0.0000 8.0982" Properties=species:S:1:pos:R:3 comment="Rb3Np3ZnSe8, relaxed, DFT GGA-PBE" dft_energy_ev_per_atom=-5.789 mass_density_g_cm3=5.62 spacegroup="C2/m (12)" pbc="T T T"
Rb 0.0000 0.0000 0.0000
Rb 3.6813 2.0637 0.0000
Rb 3.6813 -2.0637 0.0000
Np 1.1767 2.0637 4.0491
Np 1.1767 -2.0637 4.0491
Np 4.8580 0.0000 4.0491
Zn -2.5045 0.0000 4.0491
Se 3.6750 2.1889 5.5010
Se 0.1366 0.0000 5.6570
Se 6.0410 2.1889 2.5972
Se 2.4294 0.0000 2.4503
Se 7.2866 0.0000 5.6480
Se 3.6750 -2.1889 5.5010
Se 9.5794 0.0000 2.4412
Se 6.0410 -2.1889 2.5972